{
  "formula": "LiSm2Br",
  "functional": "PBE-GGA",
  "state": "relaxed",
  "lattice": [[3.5177, 0.0000, 0.0000], [-1.7589, 3.0464, 0.0000], [0.0000, 0.0000, 34.2443]],
  "species": ["Li", "Li", "Li", "Sm", "Sm", "Sm", "Sm", "Sm", "Sm", "Br", "Br", "Br"],
  "fractional_positions": [[0.0000, 0.0000, 0.0000], [0.3333, 0.6667, 0.6667], [0.6667, 0.3333, 0.3333], [0.0000, 0.0000, 0.0962], [0.0000, 0.0000, 0.9038], [0.3333, 0.6667, 0.5704], [0.3333, 0.6667, 0.7629], [0.6667, 0.3333, 0.2371], [0.6667, 0.3333, 0.4296], [0.0000, 0.0000, 0.5000], [0.3333, 0.6667, 0.1667], [0.6667, 0.3333, 0.8333]],
  "spacegroup": "No. 166",
  "formation_energy_uncorrected_ev_per_atom": -0.279,
  "vol_a3_per_fu": 122,
  "dos_ef_per_ev_cell": 14.3,
  "dft_energy_ev_per_fu": -14.1
}